# 1
# BaLi2Fe

A relaxed structure of BaLi2Fe (GGA-PBE, the Alexandria database).

Properties
Electronic total energy   -3.092 eV per atom
Spin magnetization   2.4 μB/cell
SG   P4mm (99)
Offset from the most stable computed form   0.012 eV per atom

abc: 3.5661 3.5661 7.7721
angles: 90.00 90.00 90.00
Positions (direct):
Ba: 0.0000 0.0000 0.0000
Li: 0.0000 0.0000 0.4393
Li: 0.5000 0.5000 0.6293
Fe: 0.5000 0.5000 0.2853

=====

# 2
# BaLi2Fe

A relaxed structure of BaLi2Fe (GGA-PBE, the Alexandria database).

Properties
Electronic total energy   -3.081 eV per atom
Spin magnetization   2.3 μB/cell
SG   Immm (71)
Offset from the most stable computed form   0.023 eV per atom

abc: 6.2846 6.2846 6.2846
angles: 147.83 129.95 60.76
Positions (direct):
Ba: 0.0000 0.0000 0.0000
Li: 0.2957 0.7957 0.5000
Li: 0.7043 0.2043 0.5000
Fe: 0.5000 0.5000 0.0000

=====

# 3
# BaLi2Fe

A relaxed structure of BaLi2Fe (GGA-PBE, the Alexandria database).

Properties
Electronic total energy   -3.025 eV per atom
Spin magnetization   2.3 μB/cell
SG   I4/mmm (139)
Offset from the most stable computed form   0.079 eV per atom

abc: 5.7639 5.7639 5.7639
angles: 134.07 134.07 66.97
Positions (direct):
Ba: 0.0000 0.0000 0.0000
Li: 0.2500 0.7500 0.5000
Li: 0.7500 0.2500 0.5000
Fe: 0.5000 0.5000 0.0000

=====

# 4
# BaLi2Fe

A relaxed structure of BaLi2Fe (GGA-PBE, the Alexandria database).

Properties
Electronic total energy   -3.026 eV per atom
Spin magnetization   2.5 μB/cell
SG   P2/m (10)
Offset from the most stable computed form   0.078 eV per atom

abc: 3.4307 5.0847 5.6832
angles: 90.00 96.68 90.00
Positions (direct):
Ba: 0.0000 0.0000 0.0000
Li: 0.2856 0.5000 0.6788
Li: 0.7144 0.5000 0.3212
Fe: 0.5000 0.0000 0.5000

=====

# 5
# BaLiFe2

A relaxed structure of BaLiFe2 (GGA-PBE, the Alexandria database).

Properties
Electronic total energy   -4.691 eV per atom
Spin magnetization   5.2 μB/cell
SG   P4mm (99)
Offset from the most stable computed form   0.007 eV per atom

abc: 3.2849 3.2849 8.0006
angles: 90.00 90.00 90.00
Positions (direct):
Ba: 0.0000 0.0000 0.0000
Li: 0.5000 0.5000 0.6224
Fe: 0.0000 0.0000 0.4167
Fe: 0.5000 0.5000 0.3059

=====

# 6
# BaLiFe2

A relaxed structure of BaLiFe2 (GGA-PBE, the Alexandria database).

Properties
Electronic total energy   -4.506 eV per atom
Spin magnetization   5.5 μB/cell
SG   P4/mmm (123)
Offset from the most stable computed form   0.191 eV per atom

abc: 3.5068 3.5068 6.9793
angles: 90.00 90.00 90.00
Positions (direct):
Ba: 0.0000 0.0000 0.0000
Li: 0.0000 0.0000 0.5000
Fe: 0.5000 0.5000 0.3437
Fe: 0.5000 0.5000 0.6563